# 1
Compound: KLiSc3
Source: the Alexandria database
Functional: meta-GGA SCAN
Structure: PBEsol geometry

Results
ΔE_f (eV per atom): 0.791
Fermi-level density of states (states/eV/f.u.): 8.3

Cell: 5.243 5.243 5.243 Å, 90.00 90.00 90.00°
Atoms (fractional coordinates):
1 Sc 0.000 0.500 0.000
2 Sc 0.000 0.000 0.500
3 Sc 0.500 0.000 0.000
4 K 0.500 0.500 0.500
5 Li 0.000 0.000 0.000

***

# 2
Compound: As2PtPbBr
Source: the Alexandria database
Functional: meta-GGA SCAN
Structure: PBEsol geometry

Results
Raw formation energy (eV/atom): 1.48
Fermi-level density of states (states/eV/f.u.): 4.9

Cell: 5.270 5.301 5.301 Å, 90.00 90.00 90.00°
Atoms (fractional coordinates):
1 Pb 0.000 0.000 0.000
2 As 0.000 0.000 0.500
3 As 0.000 0.500 0.000
4 Br 0.500 0.000 0.000
5 Pt 0.500 0.500 0.500

***

# 3
Compound: NaScBe2
Source: the Alexandria database
Functional: meta-GGA SCAN
Structure: PBEsol geometry

Results
ΔE_f (eV per atom): 0.538
Fermi-level density of states (states/eV/f.u.): 2.8

Cell: 4.505 4.505 4.505 Å, 60.00 60.00 60.00°
Atoms (fractional coordinates):
1 Sc 0.500 0.500 0.500
2 Na 0.000 0.000 0.000
3 Be 0.250 0.250 0.250
4 Be 0.750 0.750 0.750

***

# 4
Compound: SbTe2Br
Source: the Alexandria database
Functional: meta-GGA SCAN
Structure: PBEsol geometry

Results
Energy above the most stable polymorph in this dataset (meV per atom): 21
Raw formation energy (eV/atom): 0.24
Fermi-level density of states (states/eV/f.u.): 3.4

Cell: 5.293 5.293 5.293 Å, 60.00 60.00 60.00°
Atoms (fractional coordinates):
1 Sb 0.250 0.250 0.250
2 Te 0.000 0.000 0.000
3 Te 0.750 0.750 0.750
4 Br 0.500 0.500 0.500

***

# 5
Compound: LiNbVO4
Source: the Alexandria database
Functional: meta-GGA SCAN
Structure: PBEsol geometry

Results
Energy above the most stable polymorph in this dataset (meV per atom): 0
Raw formation energy (eV/atom): -2.56
Fermi-level density of states (states/eV/f.u.): 1.3

Cell: 5.954 5.954 10.376 Å, 73.08 73.08 59.41°
Atoms (fractional coordinates):
1 Li 0.058 0.058 0.810
2 Li 0.566 0.566 0.312
3 Li 0.434 0.434 0.688
4 Li 0.942 0.942 0.190
5 Nb 0.000 0.000 0.500
6 Nb 0.500 0.500 0.000
7 Nb 0.264 0.264 0.236
8 Nb 0.736 0.736 0.764
9 V 0.500 0.000 0.000
10 V 0.500 0.000 0.500
11 V 0.000 0.500 0.500
12 V 0.000 0.500 0.000
13 O 0.132 0.132 0.610
14 O 0.632 0.632 0.111
15 O 0.360 0.360 0.381
16 O 0.859 0.859 0.880
17 O 0.141 0.141 0.120
18 O 0.640 0.640 0.619
19 O 0.368 0.368 0.889
20 O 0.868 0.868 0.390
21 O 0.900 0.363 0.379
22 O 0.372 0.886 0.882
23 O 0.363 0.900 0.379
24 O 0.886 0.372 0.882
25 O 0.628 0.114 0.118
26 O 0.100 0.637 0.621
27 O 0.114 0.628 0.118
28 O 0.637 0.100 0.621

***

# 6
Compound: TlPO2F
Source: the Alexandria database
Functional: meta-GGA SCAN
Structure: PBEsol geometry

Results
Raw formation energy (eV/atom): -1.12
Fermi-level density of states (states/eV/f.u.): 0.5

Cell: 3.589 3.589 4.859 Å, 90.00 90.00 90.00°
Atoms (fractional coordinates):
1 P 0.000 0.000 0.000
2 Tl 0.500 0.500 0.500
3 O 0.000 0.500 0.000
4 O 0.500 0.000 0.000
5 F 0.000 0.000 0.500

***

# 7
Compound: Nd3NCl6
Source: the Alexandria database
Functional: meta-GGA SCAN
Structure: PBEsol geometry

Results
Raw formation energy (eV/atom): -2.48
Fermi-level density of states (states/eV/f.u.): 0.0

Cell: 10.411 11.055 16.221 Å, 90.00 90.00 90.00°
Atoms (fractional coordinates):
1 Nd 0.987 0.710 0.547
2 Nd 0.659 0.466 0.677
3 Nd 0.487 0.710 0.953
4 Nd 0.841 0.966 0.677
5 Nd 0.513 0.210 0.547
6 Nd 0.641 0.022 0.938
7 Nd 0.513 0.290 0.047
8 Nd 0.341 0.966 0.823
9 Nd 0.859 0.522 0.938
10 Nd 0.359 0.978 0.062
11 Nd 0.341 0.534 0.323
12 Nd 0.641 0.478 0.438
13 Nd 0.013 0.210 0.953
14 Nd 0.859 0.978 0.438
15 Nd 0.141 0.478 0.062
16 Nd 0.013 0.290 0.453
17 Nd 0.487 0.790 0.453
18 Nd 0.659 0.034 0.177
19 Nd 0.159 0.034 0.323
20 Nd 0.987 0.790 0.047
21 Nd 0.841 0.534 0.177
22 Nd 0.359 0.522 0.562
23 Nd 0.159 0.466 0.823
24 Nd 0.141 0.022 0.562
25 N 0.950 0.592 0.061
26 N 0.450 0.592 0.439
27 N 0.050 0.408 0.939
28 N 0.050 0.092 0.439
29 N 0.550 0.408 0.561
30 N 0.950 0.908 0.561
31 N 0.550 0.092 0.061
32 N 0.450 0.908 0.939
33 Cl 0.472 0.311 0.375
34 Cl 0.629 0.934 0.339
35 Cl 0.252 0.785 0.545
36 Cl 0.897 0.422 0.772
37 Cl 0.028 0.689 0.875
38 Cl 0.831 0.787 0.186
39 Cl 0.472 0.189 0.875
40 Cl 0.331 0.713 0.814
41 Cl 0.528 0.689 0.625
42 Cl 0.528 0.811 0.125
43 Cl 0.972 0.189 0.625
44 Cl 0.358 0.469 0.946
45 Cl 0.397 0.422 0.728
46 Cl 0.371 0.434 0.161
47 Cl 0.129 0.566 0.661
48 Cl 0.371 0.066 0.661
49 Cl 0.972 0.311 0.125
50 Cl 0.252 0.715 0.045
51 Cl 0.642 0.531 0.054
52 Cl 0.169 0.213 0.814
53 Cl 0.603 0.578 0.272
54 Cl 0.897 0.078 0.272
55 Cl 0.103 0.578 0.228
56 Cl 0.169 0.287 0.314
57 Cl 0.748 0.215 0.455
58 Cl 0.748 0.285 0.955
59 Cl 0.871 0.434 0.339
60 Cl 0.831 0.713 0.686
61 Cl 0.358 0.031 0.446
62 Cl 0.028 0.811 0.375
63 Cl 0.752 0.715 0.455
64 Cl 0.603 0.922 0.772
65 Cl 0.642 0.969 0.554
66 Cl 0.858 0.031 0.054
67 Cl 0.669 0.287 0.186
68 Cl 0.629 0.566 0.839
69 Cl 0.129 0.934 0.161
70 Cl 0.871 0.066 0.839
71 Cl 0.752 0.785 0.955
72 Cl 0.248 0.285 0.545
73 Cl 0.142 0.531 0.446
74 Cl 0.142 0.969 0.946
75 Cl 0.331 0.787 0.314
76 Cl 0.103 0.922 0.728
77 Cl 0.669 0.213 0.686
78 Cl 0.397 0.078 0.228
79 Cl 0.858 0.469 0.554
80 Cl 0.248 0.215 0.045

***

# 8
Compound: La2Al2Cr
Source: the Alexandria database
Functional: meta-GGA SCAN
Structure: PBEsol geometry

Results
ΔE_f (eV per atom): 0.421
Fermi-level density of states (states/eV/f.u.): 4.1

Cell: 4.288 4.288 7.603 Å, 106.38 106.38 90.00°
Atoms (fractional coordinates):
1 Cr 0.000 0.000 0.000
2 Al 0.413 0.413 0.826
3 Al 0.587 0.587 0.174
4 La 0.250 0.750 0.500
5 La 0.750 0.250 0.500

***

# 9
Compound: BaTiN2
Source: the Alexandria database
Functional: meta-GGA SCAN
Structure: PBEsol geometry

Results
Raw formation energy (eV/atom): -1.46
Fermi-level density of states (states/eV/f.u.): 0.0

Cell: 5.774 5.744 5.774 Å, 59.82 90.00 120.18°
Atoms (fractional coordinates):
1 N 0.244 0.750 0.875
2 N 0.506 0.750 0.375
3 N 0.375 0.250 0.244
4 N 0.875 0.250 0.506
5 Ba 0.750 0.500 0.750
6 Ba 0.000 0.000 0.000
7 Ti 0.250 0.500 0.250
8 Ti 0.500 0.000 0.500

***

# 10
Compound: CoBi3Se
Source: the Alexandria database
Functional: meta-GGA SCAN
Structure: PBEsol geometry

Results
Raw formation energy (eV/atom): 1.23
Fermi-level density of states (states/eV/f.u.): 5.2

Cell: 5.421 5.421 5.421 Å, 90.00 90.00 90.00°
Atoms (fractional coordinates):
1 Co 0.500 0.500 0.500
2 Bi 0.000 0.500 0.000
3 Bi 0.000 0.000 0.500
4 Bi 0.500 0.000 0.000
5 Se 0.000 0.000 0.000

***

# 11
Compound: ScGaPt
Source: the Alexandria database
Functional: meta-GGA SCAN
Structure: PBEsol geometry

Results
ΔE_f (eV per atom): -1.293
Fermi-level density of states (states/eV/f.u.): 1.2

Cell: 4.327 6.244 7.487 Å, 90.00 90.00 90.00°
Atoms (fractional coordinates):
1 Sc 0.750 0.990 0.289
2 Sc 0.750 0.490 0.211
3 Sc 0.250 0.010 0.711
4 Sc 0.250 0.510 0.789
5 Ga 0.750 0.809 0.921
6 Ga 0.750 0.309 0.579
7 Ga 0.250 0.191 0.079
8 Ga 0.250 0.691 0.421
9 Pt 0.750 0.735 0.591
10 Pt 0.750 0.235 0.909
11 Pt 0.250 0.265 0.409
12 Pt 0.250 0.765 0.091

***

# 12
Compound: CoPtPb
Source: the Alexandria database
Functional: meta-GGA SCAN
Structure: PBEsol geometry

Results
ΔE_f (eV per atom): 0.237
Fermi-level density of states (states/eV/f.u.): 1.5

Cell: 3.922 3.986 3.986 Å, 120.00 90.00 90.00°
Atoms (fractional coordinates):
1 Pb 0.682 0.333 0.667
2 Co 0.073 0.000 0.000
3 Pt 0.245 0.667 0.333

***

Fermi-level density of states of number 6 (TlPO2F)? 0.5 states/eV/f.u.

***

Please write out number 10 again, unchanged.
Compound: CoBi3Se
Source: the Alexandria database
Functional: meta-GGA SCAN
Structure: PBEsol geometry

Results
Raw formation energy (eV/atom): 1.23
Fermi-level density of states (states/eV/f.u.): 5.2

Cell: 5.421 5.421 5.421 Å, 90.00 90.00 90.00°
Atoms (fractional coordinates):
1 Co 0.500 0.500 0.500
2 Bi 0.000 0.500 0.000
3 Bi 0.000 0.000 0.500
4 Bi 0.500 0.000 0.000
5 Se 0.000 0.000 0.000

***

Copy entry 7 word for word.
Compound: Nd3NCl6
Source: the Alexandria database
Functional: meta-GGA SCAN
Structure: PBEsol geometry

Results
Raw formation energy (eV/atom): -2.48
Fermi-level density of states (states/eV/f.u.): 0.0

Cell: 10.411 11.055 16.221 Å, 90.00 90.00 90.00°
Atoms (fractional coordinates):
1 Nd 0.987 0.710 0.547
2 Nd 0.659 0.466 0.677
3 Nd 0.487 0.710 0.953
4 Nd 0.841 0.966 0.677
5 Nd 0.513 0.210 0.547
6 Nd 0.641 0.022 0.938
7 Nd 0.513 0.290 0.047
8 Nd 0.341 0.966 0.823
9 Nd 0.859 0.522 0.938
10 Nd 0.359 0.978 0.062
11 Nd 0.341 0.534 0.323
12 Nd 0.641 0.478 0.438
13 Nd 0.013 0.210 0.953
14 Nd 0.859 0.978 0.438
15 Nd 0.141 0.478 0.062
16 Nd 0.013 0.290 0.453
17 Nd 0.487 0.790 0.453
18 Nd 0.659 0.034 0.177
19 Nd 0.159 0.034 0.323
20 Nd 0.987 0.790 0.047
21 Nd 0.841 0.534 0.177
22 Nd 0.359 0.522 0.562
23 Nd 0.159 0.466 0.823
24 Nd 0.141 0.022 0.562
25 N 0.950 0.592 0.061
26 N 0.450 0.592 0.439
27 N 0.050 0.408 0.939
28 N 0.050 0.092 0.439
29 N 0.550 0.408 0.561
30 N 0.950 0.908 0.561
31 N 0.550 0.092 0.061
32 N 0.450 0.908 0.939
33 Cl 0.472 0.311 0.375
34 Cl 0.629 0.934 0.339
35 Cl 0.252 0.785 0.545
36 Cl 0.897 0.422 0.772
37 Cl 0.028 0.689 0.875
38 Cl 0.831 0.787 0.186
39 Cl 0.472 0.189 0.875
40 Cl 0.331 0.713 0.814
41 Cl 0.528 0.689 0.625
42 Cl 0.528 0.811 0.125
43 Cl 0.972 0.189 0.625
44 Cl 0.358 0.469 0.946
45 Cl 0.397 0.422 0.728
46 Cl 0.371 0.434 0.161
47 Cl 0.129 0.566 0.661
48 Cl 0.371 0.066 0.661
49 Cl 0.972 0.311 0.125
50 Cl 0.252 0.715 0.045
51 Cl 0.642 0.531 0.054
52 Cl 0.169 0.213 0.814
53 Cl 0.603 0.578 0.272
54 Cl 0.897 0.078 0.272
55 Cl 0.103 0.578 0.228
56 Cl 0.169 0.287 0.314
57 Cl 0.748 0.215 0.455
58 Cl 0.748 0.285 0.955
59 Cl 0.871 0.434 0.339
60 Cl 0.831 0.713 0.686
61 Cl 0.358 0.031 0.446
62 Cl 0.028 0.811 0.375
63 Cl 0.752 0.715 0.455
64 Cl 0.603 0.922 0.772
65 Cl 0.642 0.969 0.554
66 Cl 0.858 0.031 0.054
67 Cl 0.669 0.287 0.186
68 Cl 0.629 0.566 0.839
69 Cl 0.129 0.934 0.161
70 Cl 0.871 0.066 0.839
71 Cl 0.752 0.785 0.955
72 Cl 0.248 0.285 0.545
73 Cl 0.142 0.531 0.446
74 Cl 0.142 0.969 0.946
75 Cl 0.331 0.787 0.314
76 Cl 0.103 0.922 0.728
77 Cl 0.669 0.213 0.686
78 Cl 0.397 0.078 0.228
79 Cl 0.858 0.469 0.554
80 Cl 0.248 0.215 0.045

***

What is the formula in the fourth record? SbTe2Br